No. 1
First-principles (PBE) data for a relaxed structure of Nd4Er5Sc2, as listed in Alexandria.

The structure belongs to space group Immm (No. 71); the cell edges are 3.465, 11.341 and 18.345 Å and the angles 90.00°, 90.00° and 90.00°. Symmetry generates all atoms from Nd at (0.000, 0.000, 0.094), Nd at (0.000, 0.262, 0.500), Er at (0.000, 0.287, 0.320), Er at (0.000, 0.500, 0.000) and Sc at (0.000, 0.000, 0.284).

The formation energy comes out at 0.278 eV/atom. As for the calculated total energy: -0.34401 Ry/atom. The crystal system is orthorhombic. Its energy above the most stable polymorph in this dataset is 236 meV/atom.

***

No. 2
First-principles (PBE) data for a relaxed structure of BAsPC, as listed in Alexandria.

The structure belongs to space group Cm (No. 8); the cell edges are 7.799, 2.990 and 5.009 Å and the angles 90.00°, 108.88° and 90.00°. Symmetry generates all atoms from B at (0.000, 0.000, 0.000), As at (0.056, 0.500, 0.734), P at (0.262, 0.000, 0.245) and C at (0.324, 0.500, 0.077).

The formation energy comes out at 0.393 eV/atom. As for the calculated total energy: -0.44814 Ry/atom. The crystal system is monoclinic. Its energy above the most stable polymorph in this dataset is 125 meV/atom.

***

No. 3
First-principles (PBE) data for a relaxed structure of Ca5PaAs4, as listed in Alexandria.

The structure belongs to space group C2/m (No. 12); the cell edges are 18.064, 4.234 and 8.248 Å and the angles 90.00°, 102.95° and 90.00°. Symmetry generates all atoms from Ca at (0.000, 0.000, 0.000), Ca at (0.168, 0.500, 0.830), Ca at (0.170, 0.500, 0.343), Pa at (0.000, 0.000, 0.500), As at (0.001, 0.500, 0.259) and As at (0.161, 0.000, 0.584).

The formation energy comes out at -0.983 eV/atom. As for the calculated total energy: -0.35230 Ry/atom. The crystal system is monoclinic.

***

No. 4
First-principles (PBE) data for a relaxed structure of NdSmEr4, as listed in Alexandria.

The structure belongs to space group F-43m (No. 216); the cell edges are 9.332, 9.332 and 9.332 Å and the angles 90.00°, 90.00° and 90.00°. Symmetry generates all atoms from Nd at (0.000, 0.000, 0.000), Sm at (0.250, 0.250, 0.750) and Er at (0.125, 0.125, 0.375).

The formation energy comes out at 0.290 eV/atom. As for the calculated total energy: -0.31846 Ry/atom. The crystal system is cubic. Its energy above the most stable polymorph in this dataset is 268 meV/atom.

***

No. 5
First-principles (PBE) data for a relaxed structure of Tl2InSn, as listed in Alexandria.

The structure belongs to space group Immm (No. 71); the cell edges are 3.270, 5.782 and 12.667 Å and the angles 90.00°, 90.00° and 90.00°. Symmetry generates all atoms from Tl at (0.000, 0.000, 0.247), In at (0.000, 0.000, 0.500) and Sn at (0.000, 0.000, 0.000).

The formation energy comes out at 0.103 eV/atom. As for the calculated total energy: -0.20325 Ry/atom. The crystal system is orthorhombic. Its energy above the most stable polymorph in this dataset is 82 meV/atom.

***

No. 6
First-principles (PBE) data for a relaxed structure of Dy2YTl9, as listed in Alexandria.

The structure belongs to space group P4/mmm (No. 123); the cell edges are 4.769, 4.769 and 14.303 Å and the angles 90.00°, 90.00° and 90.00°. Symmetry generates all atoms from Dy at (0.000, 0.000, 0.167), Y at (0.000, 0.000, 0.500), Tl at (0.000, 0.500, 0.000), Tl at (0.000, 0.500, 0.333), Tl at (0.500, 0.500, 0.166) and Tl at (0.500, 0.500, 0.500).

The formation energy comes out at -0.240 eV/atom. As for the calculated total energy: -0.24406 Ry/atom. The crystal system is tetragonal.

***

No. 7
First-principles (PBE) data for a relaxed structure of La2TbHg, as listed in Alexandria.

The structure belongs to space group Amm2 (No. 38); the cell edges are 3.660, 3.605 and 19.764 Å and the angles 90.00°, 90.00° and 90.00°. Symmetry generates all atoms from La at (0.000, 0.000, 0.000), La at (0.500, 0.000, 0.360), Tb at (0.000, 0.000, 0.207) and Hg at (0.500, 0.000, 0.613).

The formation energy comes out at -0.115 eV/atom. As for the calculated total energy: -0.28014 Ry/atom. The crystal system is orthorhombic. Its energy above the most stable polymorph in this dataset is 127 meV/atom.

***

No. 8
First-principles (PBE) data for a relaxed structure of Ca2AlZn, as listed in Alexandria.

The structure belongs to space group Cmcm (No. 63); the cell edges are 3.630, 23.431 and 4.854 Å and the angles 90.00°, 90.00° and 90.00°. Symmetry generates all atoms from Ca at (0.000, 0.050, 0.250), Ca at (0.000, 0.200, 0.750), Al at (0.000, 0.342, 0.750) and Zn at (0.000, 0.411, 0.250).

The formation energy comes out at -0.190 eV/atom. As for the calculated total energy: -0.17969 Ry/atom. The crystal system is orthorhombic.